Entry 1:
This record from the Alexandria database describes a relaxed CaZr2Zn crystal. The functional is PBE.

Calculated values
DOS at the Fermi energy: 2.4 states/eV/cell
energy of formation from the pure elements: 0.09 eV per atom
raw total energy: -4.999 eV/atom

Unit cell a=5.7786 b=5.7786 c=5.9567 alpha=64.42 beta=64.42 gamma=32.19
Positions (direct):
Zn1 0.2699 0.2699 0.3551
Zr1 0.9674 0.9674 0.9474
Ca1 0.5311 0.5311 0.4025
Zr2 0.7316 0.7316 0.7950

=====

Entry 2:
This record from the Alexandria database describes a relaxed CaZr2Zn crystal. The functional is PBE.

Calculated values
DOS at the Fermi energy: 4.4 states/eV/cell
energy of formation from the pure elements: 0.29 eV per atom
raw total energy: -4.800 eV/atom

Unit cell a=5.1015 b=5.1015 c=5.1015 alpha=60.00 beta=60.00 gamma=60.00
Each line ends with the local moment (μB).
Positions (direct):
Zr1 0.7500 0.7500 0.7500  0.93
Ca1 0.5000 0.5000 0.5000  0.05
Zn1 0.2500 0.2500 0.2500  -0.03
Zr2 0.0000 0.0000 0.0000  0.57

=====

Entry 3:
This record from the Alexandria database describes a relaxed CaZr2Zn crystal. The functional is PBE.

Calculated values
DOS at the Fermi energy: 3.6 states/eV/cell
energy of formation from the pure elements: 0.19 eV per atom
raw total energy: -4.901 eV/atom

Unit cell a=10.5652 b=10.5652 c=10.5652 alpha=17.90 beta=17.90 gamma=17.90
Positions (direct):
Ca1 0.2500 0.2500 0.2500
Zr1 0.0141 0.0141 0.0141
Zn1 0.7500 0.7500 0.7500
Zr2 0.4859 0.4859 0.4859

=====

- What is the formula in the second record?
  CaZr2Zn

=====

- Which value of raw total energy does entry 1 give?
  -4.999 eV/atom